4
Lattice="3.051 -2.349 2.551 3.239 2.263 2.391 -0.228 0.169 4.610" Properties=species:S:1:pos:R:3 comment="BeFeHgSb GGA-PBE optimized geometry" relative_energy_mev_per_atom=0 spacegroup="F-43m (216)" m_tot_mub_per_cell=2.75 pbc="T T T"
Be 1.515 0.021 2.388
Fe 4.546 0.062 7.163
Hg 3.031 0.042 4.776
Sb 0.000 0.000 0.000



4
Lattice="0.000 3.008 3.008 3.008 0.000 3.008 3.008 3.008 0.000" Properties=species:S:1:pos:R:3 comment="BeFeSiHg GGA-PBE optimized geometry" relative_energy_mev_per_atom=0 spacegroup="F-43m (216)" m_tot_mub_per_cell=1.53 pbc="T T T"
Be 1.504 1.504 1.504
Fe 4.512 4.512 4.512
Hg 3.008 3.008 3.008
Si 0.000 0.000 0.000



4
Lattice="0.000 3.001 3.001 3.001 0.000 3.001 3.001 3.001 0.000" Properties=species:S:1:pos:R:3 comment="BeFeSiHg GGA-PBE optimized geometry" relative_energy_mev_per_atom=5 spacegroup="F-43m (216)" m_tot_mub_per_cell=1.74 pbc="T T T"
Be 3.001 3.001 3.001
Fe 4.501 4.501 4.501
Hg 1.500 1.500 1.500
Si 0.000 0.000 0.000